(1)
# La4SmY10 | Alexandria via LeMat-Bulk | GGA-PBE | relaxed
data_La4SmY10
_symmetry_space_group_name_H-M 'P 1'
_symmetry_Int_Tables_number 1
_cell_length_a 9.4896
_cell_length_b 9.4896
_cell_length_c 9.4896
_cell_angle_alpha 99.60
_cell_angle_beta 99.60
_cell_angle_gamma 131.79
loop_
_symmetry_equiv_pos_as_xyz
'x,y,z'
loop_
_atom_site_label
_atom_site_type_symbol
_atom_site_fract_x
_atom_site_fract_y
_atom_site_fract_z
Y1 Y 0.7500 0.2500 0.5000
Y2 Y 0.5538 0.8510 0.8984
La1 La 0.6006 0.2025 0.8030
La2 La 0.3994 0.7975 0.1970
Y3 Y 0.3446 0.4462 0.2972
Y4 Y 0.0474 0.3446 0.8984
Y5 Y 0.1490 0.0474 0.7028
La3 La 0.7975 0.6006 0.3981
Sm1 Sm 0.0000 0.0000 0.0000
Y6 Y 0.8510 0.9526 0.2972
Y7 Y 0.9526 0.6554 0.1016
Y8 Y 0.4462 0.1490 0.1016
Y9 Y 0.6554 0.5538 0.7028
Y10 Y 0.2500 0.7500 0.5000
La4 La 0.2025 0.3994 0.6019
# Formation energy (eV/atom): 0.788
# Crystal system: tetragonal
# Symmetry: No. 87

***

(2)
# CuReO2 | Alexandria via LeMat-Bulk | GGA-PBE | relaxed
data_CuReO2
_symmetry_space_group_name_H-M 'P 1'
_symmetry_Int_Tables_number 1
_cell_length_a 3.7969
_cell_length_b 3.7969
_cell_length_c 3.7969
_cell_angle_alpha 60.00
_cell_angle_beta 60.00
_cell_angle_gamma 60.00
loop_
_symmetry_equiv_pos_as_xyz
'x,y,z'
loop_
_atom_site_label
_atom_site_type_symbol
_atom_site_fract_x
_atom_site_fract_y
_atom_site_fract_z
O1 O 0.7500 0.7500 0.7500
O2 O 0.2500 0.2500 0.2500
Re1 Re 0.5000 0.5000 0.5000
Cu1 Cu 0.0000 0.0000 0.0000
# Crystal system: cubic
# Energy above the most stable polymorph in this dataset (meV per atom): 876
# Symmetry: No. 225
# Formation energy from raw total energies (meV/atom): 161

***

(3)
# LaCdCl6 | Alexandria via LeMat-Bulk | GGA-PBE | relaxed
data_LaCdCl6
_symmetry_space_group_name_H-M 'P 1'
_symmetry_Int_Tables_number 1
_cell_length_a 6.5829
_cell_length_b 6.5431
_cell_length_c 7.4865
_cell_angle_alpha 63.68
_cell_angle_beta 63.72
_cell_angle_gamma 59.73
loop_
_symmetry_equiv_pos_as_xyz
'x,y,z'
loop_
_atom_site_label
_atom_site_type_symbol
_atom_site_fract_x
_atom_site_fract_y
_atom_site_fract_z
Cd1 Cd 0.0000 0.0000 0.0000
Cl1 Cl 0.0683 0.4147 0.7570
Cl2 Cl 0.2399 0.9318 0.2406
La1 La 0.5000 0.5000 0.5000
Cl3 Cl 0.5868 0.2400 0.2424
Cl4 Cl 0.9317 0.5853 0.2430
Cl5 Cl 0.4132 0.7600 0.7576
Cl6 Cl 0.7601 0.0682 0.7594
# Crystal system: triclinic
# Symmetry: No. 2
# Formation energy from raw total energies (meV/atom): -1410

***

(4)
# PmPrAlCd | Alexandria via LeMat-Bulk | GGA-PBE | relaxed
data_PmPrAlCd
_symmetry_space_group_name_H-M 'P 1'
_symmetry_Int_Tables_number 1
_cell_length_a 3.6279
_cell_length_b 3.6279
_cell_length_c 8.2549
_cell_angle_alpha 90.00
_cell_angle_beta 90.00
_cell_angle_gamma 90.00
loop_
_symmetry_equiv_pos_as_xyz
'x,y,z'
loop_
_atom_site_label
_atom_site_type_symbol
_atom_site_fract_x
_atom_site_fract_y
_atom_site_fract_z
Pm1 Pm 0.5000 0.5000 0.1200
Pr1 Pr 0.5000 0.5000 0.5930
Cd1 Cd 0.0000 0.0000 0.8628
Al1 Al 0.0000 0.0000 0.3522
# Formation energy (eV/atom): -0.345
# Crystal system: tetragonal
# Energy above the most stable polymorph in this dataset (meV per atom): 0
# Symmetry: No. 99

***

(5)
# Na3Np3ScTe8 | Alexandria via LeMat-Bulk | GGA-PBE | relaxed
data_Na3Np3ScTe8
_symmetry_space_group_name_H-M 'P 1'
_symmetry_Int_Tables_number 1
_cell_length_a 8.8007
_cell_length_b 8.8004
_cell_length_c 9.1251
_cell_angle_alpha 118.86
_cell_angle_beta 90.00
_cell_angle_gamma 120.00
loop_
_symmetry_equiv_pos_as_xyz
'x,y,z'
loop_
_atom_site_label
_atom_site_type_symbol
_atom_site_fract_x
_atom_site_fract_y
_atom_site_fract_z
Np1 Np 0.0000 0.5000 0.5000
Te1 Te 0.7639 0.0114 0.2754
Te2 Te 0.7638 0.5276 0.2753
Te3 Te 0.7525 0.9886 0.7246
Te4 Te 0.7449 0.4898 0.7346
Na1 Na 0.0000 0.5000 0.0000
Te5 Te 0.2362 0.4724 0.7247
Na2 Na 0.0000 0.0000 0.0000
Np2 Np 0.5000 0.5000 0.5000
Sc1 Sc 0.0000 0.0000 0.5000
Np3 Np 0.5000 0.0000 0.5000
Te6 Te 0.2475 0.0114 0.2754
Te7 Te 0.2361 0.9886 0.7246
Te8 Te 0.2551 0.5102 0.2654
Na3 Na 0.5000 0.5000 0.0000
# Crystal system: trigonal
# Symmetry: No. 166
# Formation energy from raw total energies (meV/atom): -864

***

(6)
# HgTe2AsI | Alexandria via LeMat-Bulk | GGA-PBE | relaxed
data_HgTe2AsI
_symmetry_space_group_name_H-M 'P 1'
_symmetry_Int_Tables_number 1
_cell_length_a 5.5766
_cell_length_b 5.5766
_cell_length_c 5.6244
_cell_angle_alpha 90.00
_cell_angle_beta 90.00
_cell_angle_gamma 90.00
loop_
_symmetry_equiv_pos_as_xyz
'x,y,z'
loop_
_atom_site_label
_atom_site_type_symbol
_atom_site_fract_x
_atom_site_fract_y
_atom_site_fract_z
Hg1 Hg 0.5000 0.5000 0.5000
Te1 Te 0.0000 0.5000 0.0000
I1 I 0.0000 0.0000 0.5000
As1 As 0.0000 0.0000 0.0000
Te2 Te 0.5000 0.0000 0.0000
# Crystal system: tetragonal
# Energy above the most stable polymorph in this dataset (meV per atom): 0
# Symmetry: No. 123
# Formation energy from raw total energies (meV/atom): 347

***

(7)
# TlBiPtO4 | Alexandria via LeMat-Bulk | GGA-PBE | relaxed
data_TlBiPtO4
_symmetry_space_group_name_H-M 'P 1'
_symmetry_Int_Tables_number 1
_cell_length_a 6.4429
_cell_length_b 6.9868
_cell_length_c 7.1909
_cell_angle_alpha 120.97
_cell_angle_beta 90.00
_cell_angle_gamma 117.46
loop_
_symmetry_equiv_pos_as_xyz
'x,y,z'
loop_
_atom_site_label
_atom_site_type_symbol
_atom_site_fract_x
_atom_site_fract_y
_atom_site_fract_z
Bi1 Bi 0.5000 0.0000 0.0000
Pt1 Pt 0.5000 0.5000 0.5000
O1 O 0.2683 0.5366 0.6942
Bi2 Bi 0.5000 0.0000 0.5000
O2 O 0.1996 0.8076 0.1538
O3 O 0.8004 0.1924 0.8462
O4 O 0.7317 0.4634 0.3058
Tl1 Tl 0.1991 0.3983 0.9491
Tl2 Tl 0.8009 0.6017 0.0509
O5 O 0.6080 0.8076 0.1538
O6 O 0.7317 0.4634 0.6576
O7 O 0.3920 0.1924 0.8462
O8 O 0.2683 0.5366 0.3424
Pt2 Pt 0.0000 0.5000 0.5000
# Crystal system: orthorhombic
# Symmetry: No. 74
# Formation energy from raw total energies (meV/atom): -684

***

(8)
# ScAg3 | Alexandria via LeMat-Bulk | GGA-PBE | relaxed
data_ScAg3
_symmetry_space_group_name_H-M 'P 1'
_symmetry_Int_Tables_number 1
_cell_length_a 4.2462
_cell_length_b 4.2462
_cell_length_c 4.2462
_cell_angle_alpha 90.00
_cell_angle_beta 90.00
_cell_angle_gamma 90.00
loop_
_symmetry_equiv_pos_as_xyz
'x,y,z'
loop_
_atom_site_label
_atom_site_type_symbol
_atom_site_fract_x
_atom_site_fract_y
_atom_site_fract_z
Ag1 Ag 0.0000 0.0000 0.0000
Ag2 Ag 0.0000 0.5000 0.5000
Sc1 Sc 0.5000 0.5000 0.0000
Ag3 Ag 0.5000 0.0000 0.5000
# Formation energy (eV/atom): -0.064
# Crystal system: cubic
# Symmetry: No. 221

***

(9)
# YRe2 | Alexandria via LeMat-Bulk | GGA-PBE | relaxed
data_YRe2
_symmetry_space_group_name_H-M 'P 1'
_symmetry_Int_Tables_number 1
_cell_length_a 9.9332
_cell_length_b 9.9332
_cell_length_c 4.3104
_cell_angle_alpha 90.00
_cell_angle_beta 90.00
_cell_angle_gamma 162.66
loop_
_symmetry_equiv_pos_as_xyz
'x,y,z'
loop_
_atom_site_label
_atom_site_type_symbol
_atom_site_fract_x
_atom_site_fract_y
_atom_site_fract_z
Y1 Y 0.6831 0.3169 0.2500
Re1 Re 0.4310 0.5690 0.2500
Y2 Y 0.3169 0.6831 0.7500
Re2 Re 0.5690 0.4310 0.7500
Re3 Re 0.0463 0.9537 0.2500
Re4 Re 0.9537 0.0463 0.7500
# Formation energy (eV/atom): 0.411
# Crystal system: orthorhombic
# Symmetry: No. 63

***

(10)
# ScTaNi2Bi | Alexandria via LeMat-Bulk | GGA-PBE | relaxed
data_ScTaNi2Bi
_symmetry_space_group_name_H-M 'P 1'
_symmetry_Int_Tables_number 1
_cell_length_a 4.4874
_cell_length_b 5.1358
_cell_length_c 4.4874
_cell_angle_alpha 90.00
_cell_angle_beta 90.00
_cell_angle_gamma 90.00
loop_
_symmetry_equiv_pos_as_xyz
'x,y,z'
loop_
_atom_site_label
_atom_site_type_symbol
_atom_site_fract_x
_atom_site_fract_y
_atom_site_fract_z
Sc1 Sc 0.0000 0.0000 0.0000
Ni1 Ni 0.0000 0.0000 0.5000
Bi1 Bi 0.5000 0.5000 0.5000
Ta1 Ta 0.0000 0.5000 0.0000
Ni2 Ni 0.5000 0.0000 0.0000
# Formation energy (eV/atom): 1.153
# Crystal system: tetragonal
# Symmetry: No. 123

***

(11)
# LiHo2Th3Se6 | Alexandria via LeMat-Bulk | GGA-PBE | relaxed
data_LiHo2Th3Se6
_symmetry_space_group_name_H-M 'P 1'
_symmetry_Int_Tables_number 1
_cell_length_a 3.9798
_cell_length_b 8.5272
_cell_length_c 9.3995
_cell_angle_alpha 108.83
_cell_angle_beta 102.22
_cell_angle_gamma 90.00
loop_
_symmetry_equiv_pos_as_xyz
'x,y,z'
loop_
_atom_site_label
_atom_site_type_symbol
_atom_site_fract_x
_atom_site_fract_y
_atom_site_fract_z
Se1 Se 0.3290 0.4276 0.6579
Li1 Li 0.5000 0.0000 0.0000
Se2 Se 0.9976 0.7685 0.9952
Th1 Th 0.1683 0.8345 0.3366
Se3 Se 0.3435 0.9118 0.6871
Th2 Th 0.8317 0.1655 0.6634
Se4 Se 0.6710 0.5724 0.3421
Se5 Se 0.0024 0.2315 0.0048
Ho1 Ho 0.1651 0.3306 0.3302
Ho2 Ho 0.8349 0.6694 0.6698
Th3 Th 0.5000 0.5000 0.0000
Se6 Se 0.6565 0.0882 0.3129
# Crystal system: monoclinic
# Symmetry: No. 12
# Formation energy from raw total energies (meV/atom): -1598

***

(12)
# CeU3Tl4S12 | Alexandria via LeMat-Bulk | GGA-PBE | relaxed
data_CeU3Tl4S12
_symmetry_space_group_name_H-M 'P 1'
_symmetry_Int_Tables_number 1
_cell_length_a 9.0391
_cell_length_b 9.0391
_cell_length_c 9.0391
_cell_angle_alpha 109.47
_cell_angle_beta 109.47
_cell_angle_gamma 109.47
loop_
_symmetry_equiv_pos_as_xyz
'x,y,z'
loop_
_atom_site_label
_atom_site_type_symbol
_atom_site_fract_x
_atom_site_fract_y
_atom_site_fract_z
Tl1 Tl 0.0000 0.0000 0.5000
S1 S 0.7422 0.7422 0.0000
S2 S 0.2579 0.0000 0.2579
S3 S 0.2579 0.2579 0.0000
S4 S 0.7422 0.0000 0.7422
Tl2 Tl 0.5000 0.0000 0.0000
U1 U 0.5000 0.5000 0.0000
S5 S 0.7500 0.5000 0.2500
S6 S 0.2500 0.5000 0.7500
U2 U 0.5000 0.0000 0.5000
Tl3 Tl 0.0000 0.5000 0.0000
S7 S 0.0000 0.7422 0.7422
S8 S 0.7500 0.2500 0.5000
S9 S 0.0000 0.2579 0.2579
S10 S 0.5000 0.7500 0.2500
S11 S 0.2500 0.7500 0.5000
U3 U 0.0000 0.5000 0.5000
S12 S 0.5000 0.2500 0.7500
Ce1 Ce 0.0000 0.0000 0.0000
Tl4 Tl 0.5000 0.5000 0.5000
# Crystal system: cubic
# Symmetry: No. 229
# Formation energy from raw total energies (meV/atom): -1019